# PmMgZnSb

Crystalline PmMgZnSb at its relaxed geometry (PBE, the Alexandria database).

Computed properties:
**D(E_F)**: 4.6 states/eV/f.u.
**Uncorrected energy**: -3.252 eV/atom

Cell: 7.336 7.336 7.336 Å, 90.00 90.00 90.00°
Space group F-43m (No. 216)
Unique sites:
Pm: 0.000 0.000 0.000 x4
Mg: 0.000 0.000 0.500 x4
Zn: 0.250 0.250 0.750 x4
Sb: 0.250 0.250 0.250 x4